VASP calculation (PBE) on a geometry-optimized Tb4NdY2 structure.

Offset from the most stable computed form (meV/atom): 84
Formation energy (eV per atom): 0.12
Magnetic moment (μB/atom): 0.000
Final energy (Ry per atom): -0.371

a b c (Å): 6.191 6.579 11.542
angles (deg): 90.00 103.87 90.00
Space group P2_1/m (No. 11)
Asymmetric unit:
Tb (0.144, 0.008, 0.288) x4
Tb (0.208, 0.250, 0.572) x2
Tb (0.349, 0.750, 0.841) x2
Nd (0.462, 0.750, 0.143) x2
Y (0.107, 0.250, 0.994) x2
Y (0.353, 0.750, 0.553) x2

---

VASP calculation (PBE) on a geometry-optimized Ce5Sb2O2 structure.

Uncorrected formation energy (eV per atom): -1.56
Magnetic moment (μB/atom): 0.647
Final energy (Ry per atom): -0.505

a b c (Å): 12.825 5.081 7.157
angles (deg): 90.00 103.57 90.00
Space group C2/m (No. 12)
Asymmetric unit:
Ce (0.000, 0.000, 0.000) x2
Ce (0.153, 0.000, 0.567) x4
Ce (0.168, 0.500, 0.888) x4
Sb (0.088, 0.500, 0.294) x4
O (0.165, 0.000, 0.895) x4

---

VASP calculation (PBE) on a geometry-optimized RbVBr4 structure.

Offset from the most stable computed form (meV/atom): 0
Uncorrected formation energy (eV per atom): -1.14
Magnetic moment (μB/atom): 0.333
Final energy (Ry per atom): -0.289

a b c (Å): 7.041 13.620 12.823
angles (deg): 90.00 122.56 90.00
Space group P2_1/c (No. 14)
Asymmetric unit:
Rb (0.076, 0.064, 0.252) x4
V (0.474, 0.698, 0.749) x4
Br (0.155, 0.624, 0.573) x4
Br (0.190, 0.173, 0.750) x4
Br (0.418, 0.629, 0.248) x4
Br (0.498, 0.126, 0.573) x4